(1)
A relaxed structure of KAs. Source: Alexandria via LeMat-Bulk, functional GGA-PBE.

Cell and atoms, written as POSCAR:
```
KAs
1.0
5.417 0.000 0.000
2.709 4.692 0.000
2.709 1.564 4.423
As K
1 1
Cartesian
0.000 0.000 0.000
2.709 1.564 1.106
```

Results
D(E_F): 1.327 states/eV/f.u.
Energy above the lowest structure with this stoichiometry: 1017.8 meV/atom
Total moment: 1.000 μB/atom
ΔE_f: 0.554 eV per atom

(2)
A relaxed structure of PrNd2Hg2Pb2. Source: Alexandria via LeMat-Bulk, functional GGA-PBE.

Cell and atoms, written as POSCAR:
```
PrNd2Hg2Pb2
1.0
5.128 0.000 0.000
2.564 4.441 0.000
2.564 1.480 9.305
Pb Nd Hg Pr
2 2 2 1
Cartesian
7.693 4.441 7.614
2.564 1.480 1.691
2.564 1.480 5.648
7.693 4.441 3.657
5.128 2.961 2.769
5.128 2.961 6.536
0.000 0.000 0.000
```

Results
D(E_F): 5.488 states/eV/f.u.
Total moment: 0.000 μB/atom
ΔE_f: -0.283 eV per atom

(3)
A relaxed structure of CePmTmTh. Source: Alexandria via LeMat-Bulk, functional GGA-PBE.

Cell and atoms, written as POSCAR:
```
CePmTmTh
1.0
5.656 0.000 0.000
2.828 4.898 0.000
2.828 1.633 4.618
Tm Pm Ce Th
1 1 1 1
Cartesian
2.828 1.633 1.155
0.000 0.000 0.000
5.656 3.266 2.309
8.484 4.898 3.464
```

Results
D(E_F): 12.739 states/eV/f.u.
Energy above the lowest structure with this stoichiometry: 203.6 meV/atom
Total moment: 0.553 μB/atom
ΔE_f: 0.242 eV per atom

(4)
A relaxed structure of La2PmOs2N6. Source: Alexandria via LeMat-Bulk, functional GGA-PBE.

Cell and atoms, written as POSCAR:
```
La2PmOs2N6
1.0
-5.379 -2.134 -0.217
-1.688 -3.137 -4.565
-0.434 -6.887 1.221
N Os Pm La
6 2 1 2
Cartesian
-2.598 -4.847 -3.053
-2.159 -6.223 -0.396
-5.342 -5.935 -3.164
-3.020 -7.823 -2.725
-4.480 -4.335 -0.835
-4.903 -7.311 -0.507
-3.175 -7.616 -0.937
-4.326 -4.542 -2.623
0.000 0.000 0.000
-5.868 -8.472 -3.025
-1.633 -3.686 -0.535
```

Results
ΔE_f (raw): -557.7 kJ/mol of formula units
D(E_F): 4.939 states/eV/f.u.
Total moment: 0.000 μB/atom

(5)
A relaxed structure of Ba3As2Rh. Source: Alexandria via LeMat-Bulk, functional GGA-PBE.

Cell and atoms, written as POSCAR:
```
Ba3As2Rh
1.0
4.545 0.000 0.000
0.000 13.114 0.000
0.000 0.000 12.960
As Ba Rh
8 12 4
Cartesian
3.409 2.459 0.491
1.136 10.655 12.469
3.409 4.098 6.971
3.409 6.827 2.657
1.136 9.016 5.989
1.136 0.271 3.823
1.136 6.286 10.304
3.409 12.843 9.137
3.409 3.920 10.291
3.409 8.163 12.123
3.409 7.214 7.978
1.136 5.899 4.983
1.136 9.194 2.669
3.409 11.508 5.643
3.409 2.637 3.811
1.136 4.951 0.838
1.136 1.606 7.318
1.136 0.657 11.463
3.409 12.456 1.497
1.136 10.477 9.149
1.136 1.823 1.670
3.409 8.380 4.810
1.136 4.734 8.150
3.409 11.291 11.291
```

Results
D(E_F): 4.023 states/eV/f.u.
Total moment: 0.000 μB/atom
ΔE_f: -0.864 eV per atom

(6)
A relaxed structure of KMg4Bi2. Source: Alexandria via LeMat-Bulk, functional GGA-PBE.

Cell and atoms, written as POSCAR:
```
KMg4Bi2
1.0
5.086 0.000 1.354
2.363 4.504 1.354
0.122 0.074 9.769
Mg K Bi
4 1 2
Cartesian
1.098 0.664 6.106
3.403 2.057 7.677
6.474 3.914 6.372
4.169 2.520 4.801
0.000 0.000 0.000
5.716 3.456 9.217
1.855 1.122 3.261
```

Results
D(E_F): 2.067 states/eV/f.u.
Total moment: 0.000 μB/atom
ΔE_f: -0.160 eV per atom

(7)
A relaxed structure of AgBSe2Br. Source: Alexandria via LeMat-Bulk, functional GGA-PBE.

Cell and atoms, written as POSCAR:
```
AgBSe2Br
1.0
-2.887 3.062 -0.173
-1.039 -0.753 4.012
5.211 5.043 2.297
B Se Br Ag
1 2 1 1
Cartesian
0.000 0.000 0.000
-1.444 1.531 -0.086
-0.520 -0.377 2.006
2.605 2.521 1.148
0.642 3.676 3.068
```

Results
ΔE_f (raw): 266.7 kJ/mol of formula units
D(E_F): 3.579 states/eV/f.u.
Energy above the lowest structure with this stoichiometry: 0.0 meV/atom
Total moment: 0.000 μB/atom

(8)
A relaxed structure of BaRh3. Source: Alexandria via LeMat-Bulk, functional GGA-PBE.

Cell and atoms, written as POSCAR:
```
BaRh3
1.0
-2.054 4.643 -0.804
-3.747 -3.511 -0.243
-0.477 0.304 2.975
Rh Ba
3 1
Cartesian
-2.112 -1.604 1.366
-1.266 2.474 1.086
-2.901 0.566 -0.523
0.000 0.000 0.000
```

Results
D(E_F): 4.566 states/eV/f.u.
Total moment: 0.000 μB/atom
ΔE_f: 0.497 eV per atom

(9)
A relaxed structure of Tb12YSc5. Source: Alexandria via LeMat-Bulk, functional GGA-PBE.

Cell and atoms, written as POSCAR:
```
Tb12YSc5
1.0
-3.972 4.535 0.571
-3.022 2.007 -4.848
-13.590 -9.625 3.231
Sc Tb Y
5 12 1
Cartesian
-4.663 4.361 -2.851
-11.112 -0.365 0.479
-9.473 -2.719 -1.525
-2.332 2.180 -1.426
-8.781 -2.545 1.901
-9.441 -5.854 2.202
-14.193 -4.782 3.107
-14.905 -4.924 -0.288
-6.490 -1.600 -0.395
-8.821 0.581 -1.820
-11.763 -3.665 0.774
-8.122 0.763 1.600
-5.679 1.840 -0.757
-6.391 1.698 -4.152
-8.002 4.023 -2.136
-12.583 -7.107 1.090
-14.095 -1.484 -0.651
0.000 0.000 0.000
```

Results
D(E_F): 22.231 states/eV/f.u.
Total moment: 0.000 μB/atom
ΔE_f: 0.035 eV per atom

(10)
A relaxed structure of In2AuC. Source: Alexandria via LeMat-Bulk, functional GGA-PBE.

Cell and atoms, written as POSCAR:
```
In2AuC
1.0
6.118 0.000 0.000
0.000 6.118 0.000
3.059 3.059 4.761
In C Au
4 2 2
Cartesian
4.083 1.530 1.190
2.035 4.589 1.190
7.648 7.142 3.571
4.589 5.094 3.571
3.059 3.059 0.000
3.059 6.118 2.380
0.000 0.000 0.000
6.118 3.059 2.380
```

Results
D(E_F): 2.316 states/eV/f.u.
Total moment: 0.000 μB/atom
ΔE_f: 0.631 eV per atom

(11)
A relaxed structure of BeTcSb2. Source: Alexandria via LeMat-Bulk, functional GGA-PBE.

Cell and atoms, written as POSCAR:
```
BeTcSb2
1.0
3.335 0.000 0.000
0.000 3.321 -0.010
0.000 2.137 6.549
Sb Be Tc
2 1 1
Cartesian
0.000 3.039 0.022
0.000 3.010 3.238
1.668 4.093 4.905
1.668 1.364 1.635
```

Results
ΔE_f (raw): 148.8 kJ/mol of formula units
D(E_F): 2.253 states/eV/f.u.
Total moment: 0.000 μB/atom

(12)
A relaxed structure of Li3B8C8. Source: Alexandria via LeMat-Bulk, functional GGA-PBE.

Cell and atoms, written as POSCAR:
```
Li3B8C8
1.0
-4.847 1.178 -5.907
-7.094 -1.432 -2.672
-1.022 4.408 2.849
B C Li
8 8 3
Cartesian
-7.590 4.309 -4.174
-4.575 2.264 -2.516
-5.063 4.437 -1.067
-5.374 -0.155 -1.555
-7.054 2.120 -5.555
-5.909 2.034 -0.175
-7.901 -0.283 -4.662
-8.388 1.890 -3.214
-5.256 1.395 -1.432
-5.754 3.580 0.030
-3.878 1.582 -3.747
-7.210 0.573 -5.760
-9.086 2.572 -1.983
-4.439 3.811 -2.360
-8.524 0.342 -3.370
-7.707 2.759 -4.298
-9.847 3.587 -3.972
-3.117 0.567 -1.758
0.000 0.000 0.000
```

Results
D(E_F): 4.806 states/eV/f.u.
Energy above the lowest structure with this stoichiometry: 84.0 meV/atom
Total moment: 0.000 μB/atom
ΔE_f: 0.090 eV per atom

(13)
A relaxed structure of HoErCoHg. Source: Alexandria via LeMat-Bulk, functional GGA-PBE.

Cell and atoms, written as POSCAR:
```
HoErCoHg
1.0
4.991 0.000 0.000
2.495 4.322 0.000
2.495 1.441 4.075
Ho Hg Co Er
1 1 1 1
Cartesian
0.000 0.000 0.000
7.486 4.322 3.056
2.495 1.441 1.019
4.991 2.881 2.037
```

Results
D(E_F): 2.225 states/eV/f.u.
Total moment: 0.155 μB/atom
ΔE_f: -0.243 eV per atom

(14)
A relaxed structure of Tb2NpPaN6. Source: Alexandria via LeMat-Bulk, functional GGA-PBE.

Cell and atoms, written as POSCAR:
```
Tb2NpPaN6
1.0
-5.863 0.639 0.071
-3.411 -4.309 2.141
-2.819 0.774 5.190
N Tb Np Pa
6 2 1 1
Cartesian
-4.361 -1.226 4.993
-4.818 -0.186 1.805
-5.089 -3.840 3.460
-6.493 0.543 4.330
-8.423 -1.719 2.713
-7.057 -1.992 5.502
-2.850 0.551 4.693
-6.080 -1.694 3.153
-3.077 -1.121 0.965
-9.120 -2.542 4.727
```

Results
ΔE_f (raw): -1304.0 kJ/mol of formula units
Total moment: 0.007 μB/atom

(15)
A relaxed structure of KZnAsCl6. Source: Alexandria via LeMat-Bulk, functional GGA-PBE.

Cell and atoms, written as POSCAR:
```
KZnAsCl6
1.0
6.524 0.000 0.000
3.262 5.650 0.000
0.000 0.000 7.040
Zn Cl As K
1 6 1 1
Cartesian
3.262 1.883 3.520
5.292 2.090 4.952
2.069 3.538 4.952
1.233 2.090 2.088
4.098 0.023 2.088
4.456 3.538 2.088
2.426 0.023 4.952
6.524 3.767 3.520
6.524 0.000 7.040
```

Results
ΔE_f (raw): -950.1 kJ/mol of formula units
D(E_F): 0.000 states/eV/f.u.
Total moment: 0.000 μB/atom

(16)
A relaxed structure of SiTeI2F. Source: Alexandria via LeMat-Bulk, functional GGA-PBE.

Cell and atoms, written as POSCAR:
```
SiTeI2F
1.0
-1.779 3.831 4.064
-2.294 -2.779 1.616
4.428 -1.633 3.477
I Si Te F
2 1 1 1
Cartesian
2.214 -0.817 1.739
-0.889 1.916 2.032
0.000 0.000 0.000
0.178 -0.290 4.579
-1.147 -1.389 0.808
```

Results
ΔE_f (raw): -146.8 kJ/mol of formula units
D(E_F): 3.713 states/eV/f.u.
Energy above the lowest structure with this stoichiometry: 0.0 meV/atom
Total moment: 0.000 μB/atom

(17)
A relaxed structure of RbZnPt2S. Source: Alexandria via LeMat-Bulk, functional GGA-PBE.

Cell and atoms, written as POSCAR:
```
RbZnPt2S
1.0
4.562 0.000 0.000
0.000 6.293 0.000
0.000 0.000 4.562
Pt Zn Rb S
2 1 1 1
Cartesian
0.000 0.000 2.281
2.281 0.000 0.000
2.281 3.146 2.281
0.000 3.146 0.000
0.000 0.000 0.000
```

Results
ΔE_f (raw): 97.8 kJ/mol of formula units
D(E_F): 3.114 states/eV/f.u.
Total moment: 0.000 μB/atom

(18)
A relaxed structure of AcNpIN2. Source: Alexandria via LeMat-Bulk, functional GGA-PBE.

Cell and atoms, written as POSCAR:
```
AcNpIN2
1.0
4.236 0.000 0.000
0.000 7.722 -0.274
0.000 -2.005 7.909
I N Np Ac
2 4 2 2
Cartesian
1.059 -1.151 5.834
3.177 6.868 1.801
3.177 2.148 6.627
1.059 3.568 1.008
1.059 2.473 4.613
3.177 3.244 3.023
1.059 4.040 3.070
3.177 1.677 4.565
1.059 3.325 7.103
3.177 2.392 0.532
```

Results
ΔE_f (raw): -622.2 kJ/mol of formula units
D(E_F): 6.789 states/eV/f.u.
Total moment: 0.600 μB/atom

(19)
A relaxed structure of ReOs3Pd. Source: Alexandria via LeMat-Bulk, functional GGA-PBE.

Cell and atoms, written as POSCAR:
```
ReOs3Pd
1.0
4.688 0.000 0.000
0.000 4.688 0.000
0.000 0.000 4.688
Pd Os Re
1 3 1
Cartesian
2.344 2.344 2.344
2.344 0.000 0.000
0.000 0.000 2.344
0.000 2.344 0.000
0.000 0.000 0.000
```

Results
D(E_F): 5.945 states/eV/f.u.
Energy above the lowest structure with this stoichiometry: 0.0 meV/atom
Total moment: 0.508 μB/atom
ΔE_f: 2.270 eV per atom

(20)
A relaxed structure of AcNdY2Er. Source: Alexandria via LeMat-Bulk, functional GGA-PBE.

Cell and atoms, written as POSCAR:
```
AcNdY2Er
1.0
6.475 0.000 0.000
0.000 6.527 0.000
0.000 -3.264 8.811
Y Nd Ac Er
4 2 2 2
Cartesian
3.237 1.609 0.000
3.237 4.918 0.000
0.000 1.609 0.000
0.000 4.918 0.000
1.619 3.264 6.098
4.856 0.000 2.713
4.856 0.000 6.000
1.619 3.264 2.812
1.619 0.000 4.212
4.856 3.264 4.599
```

Results
D(E_F): 8.783 states/eV/f.u.
Total moment: 0.000 μB/atom
ΔE_f: 0.396 eV per atom

(21)
A relaxed structure of Li2Sm3Cd5. Source: Alexandria via LeMat-Bulk, functional GGA-PBE.

Cell and atoms, written as POSCAR:
```
Li2Sm3Cd5
1.0
4.185 0.000 0.000
0.000 10.668 0.000
0.000 0.000 10.668
Cd Sm Li
10 6 4
Cartesian
2.093 10.021 2.335
2.093 8.333 10.021
2.093 7.669 4.686
2.093 2.999 5.982
2.093 5.334 0.000
2.093 4.686 2.999
2.093 0.648 8.333
2.093 0.000 5.334
2.093 5.982 7.669
2.093 2.335 0.648
0.000 3.419 8.753
0.000 8.753 7.249
0.000 1.915 3.419
0.000 5.334 5.334
0.000 7.249 1.915
0.000 0.000 0.000
0.000 6.552 9.450
0.000 1.218 6.552
0.000 4.116 1.218
0.000 9.450 4.116
```

Results
D(E_F): 7.522 states/eV/f.u.
Total moment: 0.000 μB/atom
ΔE_f: -0.276 eV per atom

(22)
A relaxed structure of Na5B7C3. Source: Alexandria via LeMat-Bulk, functional GGA-PBE.

Cell and atoms, written as POSCAR:
```
Na5B7C3
1.0
-10.208 -7.216 -3.327
9.781 6.089 5.883
-5.233 6.487 1.986
Na B C
10 14 6
Cartesian
-8.830 -1.283 -0.480
-0.814 4.043 3.209
3.129 6.689 5.036
-3.409 7.259 4.194
-12.845 -3.937 -2.321
-4.860 1.349 1.345
0.557 9.878 6.012
-7.456 4.567 2.330
-11.415 1.921 0.501
-15.410 -0.757 -1.348
-0.825 1.522 2.096
7.028 6.749 5.714
-5.060 -1.297 0.144
3.121 9.134 6.113
-12.662 -1.371 -1.159
-8.695 -3.716 -1.530
5.755 5.902 5.127
-0.748 6.559 4.330
-3.480 4.740 3.071
3.129 4.154 3.917
-10.033 -4.607 -2.147
-4.934 3.773 2.401
-8.807 1.194 0.617
-2.119 0.661 1.499
-7.513 2.056 1.213
-11.389 -0.524 -0.573
-6.258 -2.094 -0.407
1.890 3.330 3.347
0.544 7.419 4.925
4.425 10.002 6.714
```

Results
D(E_F): 3.071 states/eV/f.u.
Energy above the lowest structure with this stoichiometry: 14.6 meV/atom
Total moment: 0.000 μB/atom
ΔE_f: 0.127 eV per atom